# 1
PBE Ho8MgSc2, optimized geometry; offset from the most stable computed form = 0.000 eV per atom
1.0
9.381 -2.720 0.000
9.381 2.720 0.000
-0.420 0.000 6.290
Ho Mg Sc
8 1 2
Direct
0.046 0.046 0.262
0.156 0.156 0.806
0.336 0.336 0.876
0.418 0.418 0.407
0.582 0.582 0.593
0.664 0.664 0.124
0.844 0.844 0.194
0.954 0.954 0.738
0.500 0.500 0.000
0.241 0.241 0.343
0.759 0.759 0.657

***

# 2
PBE Tb5Pr2SmHo, optimized geometry; total energy = -79.20 eV/cell
1.0
-4.348 4.348 7.919
4.348 -4.348 7.919
4.348 4.348 -7.919
Tb Pr Sm Ho
10 4 2 2
Direct
0.000 0.000 0.000
0.072 0.572 0.925
0.147 0.072 0.500
0.353 0.853 0.925
0.428 0.353 0.500
0.500 0.500 0.000
0.572 0.647 0.500
0.647 0.147 0.075
0.853 0.928 0.500
0.928 0.428 0.075
0.119 0.381 0.500
0.381 0.881 0.263
0.619 0.119 0.737
0.881 0.619 0.500
0.250 0.250 0.000
0.750 0.750 0.000
0.250 0.750 0.500
0.750 0.250 0.500

***

# 3
PBE LiCrIN2, optimized geometry; offset from the most stable computed form = 1.849 eV per atom; formation energy from raw total energies = 2.025 eV per atom
1.0
3.796 0.000 0.000
0.000 3.796 0.000
0.000 0.000 4.887
Li Cr I N
1 1 1 2
Direct
0.000 0.000 0.000
0.500 0.500 0.500
0.000 0.000 0.500
0.000 0.500 0.000
0.500 0.000 0.000